No. 1
Compound: YIr
Source: the Alexandria database
Functional: PBE
Structure: optimized geometry

Lattice parameters (Å, degrees): 7.1496 8.9465 11.1557 90.00 90.00 90.00
Space group Fddd (No. 70, origin choice 2)
Inequivalent atoms, fractional coordinates:
Y  0.1250  0.3269  0.1250 (multiplicity 16)
Ir  0.0590  0.3750  0.8750 (multiplicity 16)

Output
crystal system: orthorhombic
energy relative to the elements: -542 meV/atom
density: 10.47 g/cm3

---

No. 2
Compound: Y4Ir
Source: the Alexandria database
Functional: PBE
Structure: optimized geometry

Lattice parameters (Å, degrees): 10.9332 10.9332 10.9332 90.00 90.00 90.00
Space group Fd-3m (No. 227, origin choice 2)
Inequivalent atoms, fractional coordinates:
Y  0.0129  0.0129  0.2371 (multiplicity 32)
Ir  0.1250  0.1250  0.6250 (multiplicity 8)

Output
distance to the lowest polymorph of the same formula: 486 meV/atom
crystal system: cubic
energy relative to the elements: 120 meV/atom
density: 5.57 g/cm3